A plane-wave DFT calculation with PBE was carried out for a geometry-optimized Ac12MgSi7 structure.

Properties
DOS(E_F)	1.14	states/eV per atom
energy relative to the elements, uncorrected	-0.26	eV/atom
V	707.3	Å³/f.u.
spin magnetization	0.00	Bohr magnetons per cell

The structure in CIF format:
```
data_Ac12MgSi7
_cell_length_a 16.0807
_cell_length_b 16.0807
_cell_length_c 9.4748
_cell_angle_alpha 90.00
_cell_angle_beta 90.00
_cell_angle_gamma 120.00
_symmetry_space_group_name_H-M 'R -3'
_symmetry_Int_Tables_number 148
_symmetry_space_group_name_Hall '-R 3'
loop_
_atom_site_label
_atom_site_type_symbol
_atom_site_fract_x
_atom_site_fract_y
_atom_site_fract_z
Ac1 Ac 0.0192 0.5815 0.3259
Ac2 Ac 0.0445 0.8732 0.2758
Mg1 Mg 0.0000 0.0000 0.0000
Si1 Si 0.0000 0.0000 0.5000
Si2 Si 0.0466 0.8665 0.9241
```